#A
This record from Alexandria via LeMat-Bulk describes a relaxed ScMo2W crystal. The functional is PBE.

Cell lengths 4.5506, 4.5506, 4.5506 Å; angles 60.00, 60.00, 60.00 degrees
Closest atoms and distances in Å follow each position.
Atoms (fractional coordinates):
Mo  0.7500  0.7500  0.7500  4 W 2.79, 4 Sc 2.79
Mo  0.2500  0.2500  0.2500  4 W 2.79, 4 Sc 2.79
Sc  0.0000  0.0000  0.0000  8 Mo 2.79
W  0.5000  0.5000  0.5000  8 Mo 2.79

Values from the calculation:
D(E_F) ... 4.19 states/eV/cell

***

#B
This record from Alexandria via LeMat-Bulk describes a relaxed ScMo2W crystal. The functional is PBE.

Cell lengths 4.4671, 2.7991, 5.4594 Å; angles 80.64, 90.00, 90.00 degrees
Closest atoms and distances in Å follow each position.
Atoms (fractional coordinates):
Sc  0.5000  0.2500  0.2500  2 Sc 2.80, 4 Mo 2.80, 2 W 2.86
W  0.5000  0.7500  0.7500  4 Mo 2.73, 2 W 2.80, 2 Sc 2.86
Mo  0.0000  0.9791  0.9943  2 W 2.73, 4 Mo 2.80-2.88, 2 Sc 2.80
Mo  0.0000  0.5209  0.5057  2 W 2.73, 4 Mo 2.80-2.88, 2 Sc 2.80

Values from the calculation:
D(E_F) ... 4.04 states/eV/cell

***

#C
This record from Alexandria via LeMat-Bulk describes a relaxed ScMo2W crystal. The functional is PBE.

Cell lengths 3.1889, 3.1889, 6.7438 Å; angles 90.00, 90.00, 90.00 degrees
Closest atoms and distances in Å follow each position.
Atoms (fractional coordinates):
Sc  0.5000  0.5000  0.2500  8 Mo 2.92, 4 Sc 3.19
W  0.5000  0.5000  0.7500  8 Mo 2.72
Mo  0.0000  0.0000  0.5244  4 W 2.72, 4 Sc 2.92, 1 Mo 3.04
Mo  0.0000  0.0000  0.9756  4 W 2.72, 4 Sc 2.92, 1 Mo 3.04

Values from the calculation:
D(E_F) ... 4.74 states/eV/cell

***

#D
This record from Alexandria via LeMat-Bulk describes a relaxed ScMo2W crystal. The functional is PBE.

Cell lengths 7.2946, 7.2946, 5.8572 Å; angles 51.49, 51.49, 90.00 degrees
Closest atoms and distances in Å follow each position.
Atoms (fractional coordinates):
Sc  0.5000  0.5000  0.0000  2 W 2.78, 4 Mo 2.81
Sc  0.2500  0.7500  0.5000  2 W 2.78, 4 Mo 2.81
Mo  0.0972  0.6250  0.2500  2 W 2.54, 2 Mo 2.80, 2 Sc 2.81
Mo  0.3750  0.3472  0.7500  2 W 2.54, 2 Mo 2.80, 2 Sc 2.81
Mo  0.6528  0.1250  0.2500  2 W 2.54, 2 Mo 2.80, 2 Sc 2.81
Mo  0.8750  0.9028  0.7500  2 W 2.54, 2 Mo 2.80, 2 Sc 2.81
W  0.0000  0.0000  0.0000  4 Mo 2.54, 2 Sc 2.78
W  0.7500  0.2500  0.5000  4 Mo 2.54, 2 Sc 2.78

Values from the calculation:
D(E_F) ... 6.98 states/eV/cell

***

Most stable: #A

***

#A
This record from Alexandria via LeMat-Bulk describes a relaxed ScMo2W crystal. The functional is PBE.

Cell lengths 2.7015, 4.7370, 5.3344 Å; angles 90.00, 90.00, 90.00 degrees
Closest atoms and distances in Å follow each position.
Atoms (fractional coordinates):
Mo  0.5000  0.5000  0.2543  2 W 2.65-2.68, 2 Mo 2.70
Mo  0.0000  0.0000  0.9960  2 Sc 2.66-2.68, 2 Mo 2.70
W  0.5000  0.5000  0.7518  2 Mo 2.65-2.68, 2 W 2.70
Sc  0.0000  0.0000  0.4980  2 Mo 2.66-2.68, 2 Sc 2.70

Values from the calculation:
D(E_F) ... 3.33 states/eV/cell

***

#B
This record from Alexandria via LeMat-Bulk describes a relaxed ScMo2W crystal. The functional is PBE.

Cell lengths 8.9963, 8.9963, 8.9963 Å; angles 19.39, 19.39, 19.39 degrees
Closest atoms and distances in Å follow each position.
Atoms (fractional coordinates):
Mo  0.0066  0.0066  0.0066  3 W 2.68, 3 Sc 2.95
Mo  0.4934  0.4934  0.4934  3 W 2.68, 3 Sc 2.95
W  0.7500  0.7500  0.7500  6 Mo 2.68
Sc  0.2500  0.2500  0.2500  6 Mo 2.95, 6 Sc 3.03

Values from the calculation:
D(E_F) ... 3.81 states/eV/cell

***

Most stable: #A

***

#A
This record from Alexandria via LeMat-Bulk describes a relaxed ScMo2W2 crystal. The functional is PBE.

Cell lengths 4.9247, 4.9247, 5.7618 Å; angles 55.00, 55.00, 81.79 degrees
Closest atoms and distances in Å follow each position.
Atoms (fractional coordinates):
W  0.8084  0.1916  0.5000  1 W 2.47, 2 Mo 2.54
W  0.1916  0.8084  0.5000  1 W 2.47, 2 Mo 2.54
Mo  0.5011  0.5011  0.7737  2 W 2.54, 1 Mo 2.60
Mo  0.4989  0.4989  0.2263  2 W 2.54, 1 Mo 2.60
Sc  0.0000  0.0000  0.0000  4 Mo 2.87-2.92, 8 W 3.13-3.14

Values from the calculation:
D(E_F) ... 6.00 states/eV/cell

***

#B
This record from Alexandria via LeMat-Bulk describes a relaxed ScMo2W2 crystal. The functional is PBE.

Cell lengths 7.7168, 7.7168, 2.9880 Å; angles 90.00, 90.00, 90.00 degrees
Closest atoms and distances in Å follow each position.
Atoms (fractional coordinates):
W  0.1474  0.6474  0.5000  6 Mo 2.68-2.73, 2 W 2.99
W  0.6474  0.8526  0.5000  6 Mo 2.68-2.73, 2 W 2.99
W  0.8526  0.3526  0.5000  6 Mo 2.68-2.73, 2 W 2.99
W  0.3526  0.1474  0.5000  6 Mo 2.68-2.73, 2 W 2.99
Mo  0.8508  0.6492  0.0000  6 W 2.68-2.73, 2 Sc 2.94, 2 Mo 2.99
Mo  0.3508  0.8508  0.0000  6 W 2.68-2.73, 2 Sc 2.94, 2 Mo 2.99
Mo  0.6492  0.1492  0.0000  6 W 2.68-2.73, 2 Sc 2.94, 2 Mo 2.99
Mo  0.1492  0.3508  0.0000  6 W 2.68-2.73, 2 Sc 2.94, 2 Mo 2.99
Sc  0.0000  0.0000  0.0000  4 Mo 2.94, 2 Sc 2.99
Sc  0.5000  0.5000  0.0000  4 Mo 2.94, 2 Sc 2.99

Values from the calculation:
D(E_F) ... 10.61 states/eV/cell

***

#C
This record from Alexandria via LeMat-Bulk describes a relaxed ScMo2W2 crystal. The functional is PBE.

Cell lengths 4.2346, 4.2346, 6.2430 Å; angles 70.18, 70.18, 90.00 degrees
Closest atoms and distances in Å follow each position.
Atoms (fractional coordinates):
Mo  0.6169  0.6169  0.7662  1 Mo 2.56, 4 W 2.57
Mo  0.3831  0.3831  0.2338  1 Mo 2.56, 4 W 2.57
W  0.7500  0.2500  0.5000  4 Mo 2.57
W  0.2500  0.7500  0.5000  4 Mo 2.57
Sc  0.0000  0.0000  0.0000  8 Mo 3.26, 8 W 3.46

Values from the calculation:
D(E_F) ... 8.11 states/eV/cell

***

Most stable: #B

***

#A
This record from Alexandria via LeMat-Bulk describes a relaxed ScMo4W crystal. The functional is PBE.

Cell lengths 3.1840, 5.3426, 6.4010 Å; angles 72.42, 90.12, 72.68 degrees
Closest atoms and distances in Å follow each position.
Atoms (fractional coordinates):
Mo  0.8283  0.8406  0.1717  4 Mo 2.71-2.75, 2 W 2.78-2.79, 2 Sc 2.83
Mo  0.1739  0.1500  0.3449  4 Mo 2.65-2.71, 2 W 2.79, 2 Sc 2.83
Mo  0.1729  0.1503  0.8321  4 Mo 2.71-2.75, 2 W 2.78-2.79, 2 Sc 2.83
Mo  0.8273  0.8409  0.6588  4 Mo 2.65-2.71, 2 W 2.79, 2 Sc 2.83
Sc  0.5006  0.4954  0.0018  8 Mo 2.83
W  0.5006  0.4954  0.5019  8 Mo 2.78-2.79

Values from the calculation:
D(E_F) ... 3.63 states/eV/cell

***

#B
This record from Alexandria via LeMat-Bulk describes a relaxed ScMo4W crystal. The functional is PBE.

Cell lengths 5.2664, 5.2664, 5.2664 Å; angles 60.00, 60.00, 60.00 degrees
Closest atoms and distances in Å follow each position.
Atoms (fractional coordinates):
W  0.0000  0.0000  0.0000  12 Mo 3.09, 4 Sc 3.23
Sc  0.7500  0.7500  0.7500  12 Mo 3.09, 4 W 3.23
Mo  0.3747  0.3747  0.3747  6 Mo 2.63-2.64
Mo  0.8759  0.3747  0.3747  6 Mo 2.63-2.64
Mo  0.3747  0.8759  0.3747  6 Mo 2.63-2.64
Mo  0.3747  0.3747  0.8759  6 Mo 2.63-2.64

Values from the calculation:
D(E_F) ... 3.46 states/eV/cell

***

Most stable: #A

***

#A
This record from Alexandria via LeMat-Bulk describes a relaxed ScMoW3 crystal. The functional is PBE.

Cell lengths 4.5434, 4.5434, 4.5434 Å; angles 90.00, 90.00, 90.00 degrees
Closest atoms and distances in Å follow each position.
Atoms (fractional coordinates):
W  0.0000  0.0000  0.5000  2 Sc 2.27
W  0.5000  0.0000  0.0000  2 Sc 2.27
W  0.0000  0.5000  0.0000  2 Sc 2.27
Mo  0.5000  0.5000  0.5000  12 W 3.21
Sc  0.0000  0.0000  0.0000  6 W 2.27

Values from the calculation:
D(E_F) ... 6.41 states/eV/cell

***

#B
This record from Alexandria via LeMat-Bulk describes a relaxed ScMoW3 crystal. The functional is PBE.

Cell lengths 4.7652, 4.7652, 4.7652 Å; angles 90.00, 90.00, 90.00 degrees
Closest atoms and distances in Å follow each position.
Atoms (fractional coordinates):
W  0.0000  0.0000  0.5000  2 Mo 2.38
W  0.0000  0.5000  0.0000  2 Mo 2.38
W  0.5000  0.0000  0.0000  2 Mo 2.38
Mo  0.0000  0.0000  0.0000  6 W 2.38
Sc  0.5000  0.5000  0.5000  12 W 3.37

Values from the calculation:
D(E_F) ... 8.14 states/eV/cell

***

Most stable: #B